{
  "formula": "Lu2CdC",
  "functional": "PBE",
  "state": "relaxed",
  "total_magnetization_mub_per_fu": 0.2,
  "dos_ef_per_ev_atom": 0.9136,
  "ef_ev_per_atom": -0.368,
  "lattice_angstrom": [[3.490, 0.000, 0.000], [1.745, 3.023, 0.000], [1.745, 1.008, 8.040]],
  "species": ["Cd", "C", "Lu", "Lu"],
  "fractional_positions": [[0.500, 0.500, 0.500], [0.000, 0.000, 0.000], [0.721, 0.721, 0.837], [0.279, 0.279, 0.163]]
}